A plane-wave DFT calculation with PBE was carried out for a relaxed structure of MgScBi2.

Cell lengths 4.4606, 4.4606, 20.0655 Å; angles 90.00, 90.00, 120.00 degrees
Space group R3m (No. 160, hexagonal axes)
Asymmetric unit:
Mg1 0.0000 0.0000 0.0000 x3
Sc1 0.0000 0.0000 0.8305 x3
Bi1 0.0000 0.0000 0.2434 x3
Bi2 0.0000 0.0000 0.4184 x3

Calculated values
* raw total energy: -51.0 eV/cell
* DOS at the Fermi energy: 6.897 states/eV per cell

A plane-wave DFT calculation with PBE was carried out for a relaxed structure of MgScBi2.

Cell lengths 4.2298, 4.2298, 21.8999 Å; angles 90.00, 90.00, 120.00 degrees
Space group R-3m (No. 166, hexagonal axes)
Asymmetric unit:
Mg1 0.0000 0.0000 0.0000 x3
Sc1 0.0000 0.0000 0.5000 x3
Bi1 0.0000 0.0000 0.2491 x6

Calculated values
* raw total energy: -50.7 eV/cell
* DOS at the Fermi energy: 5.891 states/eV per cell

A plane-wave DFT calculation with PBE was carried out for a relaxed structure of MgSc2Bi2.

Cell lengths 8.0585, 8.0585, 3.9685 Å; angles 90.00, 90.00, 90.00 degrees
Space group P4/mbm (No. 127)
Asymmetric unit:
Mg1 0.0000 0.0000 0.0000 x2
Sc1 0.1474 0.3526 0.5000 x4
Bi1 0.1549 0.6549 0.0000 x4

Calculated values
* raw total energy: -48.4 eV/cell
* DOS at the Fermi energy: 2.016 states/eV per cell

A plane-wave DFT calculation with PBE was carried out for a relaxed structure of MgSc2Bi2.

Cell lengths 8.1363, 8.1363, 3.9497 Å; angles 90.00, 90.00, 90.00 degrees
Space group P4/mbm (No. 127)
Asymmetric unit:
Mg1 0.0000 0.0000 0.0000 x2
Sc1 0.1400 0.3600 0.0000 x4
Bi1 0.1639 0.6639 0.5000 x4

Calculated values
* raw total energy: -47.6 eV/cell
* DOS at the Fermi energy: 3.484 states/eV per cell